Computed, not measured: a relaxed Na2HoNiF8 crystal at the GGA+U level of DFT.

```
data_Na2HoNiF8
_chemical_formula_sum 'Na2 Ho1 Ni1 F8'
_symmetry_space_group_name_H-M 'P 1 2/m 1'
_symmetry_Int_Tables_number 10
_symmetry_space_group_name_Hall '-P 2y'
_cell_length_a 4.837
_cell_length_b 6.663
_cell_length_c 5.257
_cell_angle_alpha 90.00
_cell_angle_beta 91.38
_cell_angle_gamma 90.00
loop_
_atom_site_label
_atom_site_type_symbol
_atom_site_fract_x
_atom_site_fract_y
_atom_site_fract_z
Na1 Na 0.000 0.236 0.000
Ho1 Ho 0.500 0.500 0.500
Ni1 Ni 0.500 0.000 0.500
F1 F 0.187 0.500 0.212
F2 F 0.229 0.000 0.246
F3 F 0.320 0.226 0.677
```

Values from the calculation:
As for the density of states at the Fermi level: 0.0 states/eV/cell. The value obtained for the total moment is 3.1 μB/cell. For the mass density, the calculation gives 4.13 g/cm³. The total DFT energy (no corrections) is -4.923 eV/atom.